# 1
MoPRh2 | Alexandria via LeMat-Bulk | PBE | relaxed; DOS(E_F) = 3.61 states/eV per cell; ΔH_f (0 K) = -111.4 meV per atom; mass density = 9.8 g/cm³
1.0
-2.738 0.516 0.746
-1.310 -3.458 -2.417
0.463 -2.637 3.522
Mo P Rh
1 1 2
direct
0.500 0.000 0.500
0.000 0.500 0.500
0.000 0.000 0.000
0.500 0.500 0.000



# 2
CeTl2InSe4 | Alexandria via LeMat-Bulk | PBE | relaxed; DOS(E_F) = 12.37 states/eV per cell; mass density = 6.8 g/cm³; offset from the most stable computed form = 0.0000 eV/atom
1.0
8.789 -0.056 -0.067
-0.062 8.789 -0.067
-4.327 -4.330 6.239
Ce Tl In Se
2 4 2 8
direct
0.000 0.500 0.000
0.000 0.500 0.500
0.500 0.000 0.000
0.500 0.000 0.500
0.000 0.000 0.500
0.500 0.500 0.000
0.500 0.500 0.500
0.000 0.000 0.000
0.211 0.735 0.973
0.765 0.289 0.527
0.235 0.711 0.473
0.789 0.265 0.027
0.763 0.737 0.970
0.763 0.737 0.530
0.237 0.263 0.470
0.237 0.263 0.030



# 3
HoEr2Pb | Alexandria via LeMat-Bulk | PBE | relaxed; DOS(E_F) = 3.75 states/eV per cell; ΔH_f (0 K) = -204.5 meV per atom; mass density = 9.9 g/cm³; offset from the most stable computed form = 0.0720 eV/atom
1.0
-0.778 -3.206 -1.483
3.384 -0.242 -1.253
2.544 -4.169 7.675
Pb Ho Er
1 1 2
direct
0.500 0.500 0.000
0.500 0.500 0.500
0.000 0.000 0.763
0.000 0.000 0.237



Calculated calculated volume (Å³ per atom), listed in the same order as above: 14.09, 29.80, 29.75